{
  "formula": "ReHgRu2",
  "functional": "PBE",
  "state": "relaxed",
  "lattice": [[3.999, 0.000, 0.000], [0.000, 2.792, 0.005], [0.000, 2.782, 5.735]],
  "species": ["Hg", "Re", "Ru", "Ru"],
  "fractional_positions": [[0.000, 0.508, 0.492], [0.500, 0.702, 0.798], [0.000, 0.016, 0.984], [0.500, 0.275, 0.225]],
  "mass_density_g_cm3": 15.28,
  "e_tot_ev_per_atom": -7.35,
  "ef_ev_per_atom": 0.480,
  "magmom_total_mub_per_atom": 0.000
}